No. 1
AsSBrO6: optimized geometry, GGA-PBE.

Cell and atoms, written as POSCAR:
```
AsSBrO6
1.0
-4.416 3.646 1.963
-2.246 0.685 5.588
7.130 1.158 4.803
S O As Br
1 6 1 1
direct
0.771 0.645 0.516
0.843 0.497 0.385
0.083 0.593 0.591
0.816 0.437 0.671
0.398 0.040 0.366
0.186 0.648 0.297
0.715 0.961 0.706
0.277 0.350 0.475
0.911 0.828 0.993
```

Summary:
Theoretical density: 2.6 Mg/m³
ΔE_f (raw): -0.7766 eV per atom
Crystal system: triclinic
Space group: P1, No. 1
DFT total energy: -0.3854 Ry/atom

---

No. 2
NaCaAc2Se4: optimized geometry, GGA-PBE.

Cell and atoms, written as POSCAR:
```
NaCaAc2Se4
1.0
-1.361 3.902 1.528
-2.210 -3.268 6.380
5.734 0.031 5.028
Na Se Ac Ca
1 4 2 1
direct
0.000 0.500 0.500
0.500 0.258 0.751
0.000 0.264 0.243
0.000 0.736 0.757
0.500 0.742 0.249
0.000 0.000 0.000
0.500 0.000 0.500
0.500 0.500 0.000
```

Summary:
Theoretical density: 5.8 Mg/m³
ΔE_f (raw): -1.8089 eV per atom
Crystal system: monoclinic
Space group: P2/m, No. 10
DFT total energy: -0.3670 Ry/atom

---

Repeat the first record exactly.
AsSBrO6: optimized geometry, GGA-PBE.

Cell and atoms, written as POSCAR:
```
AsSBrO6
1.0
-4.416 3.646 1.963
-2.246 0.685 5.588
7.130 1.158 4.803
S O As Br
1 6 1 1
direct
0.771 0.645 0.516
0.843 0.497 0.385
0.083 0.593 0.591
0.816 0.437 0.671
0.398 0.040 0.366
0.186 0.648 0.297
0.715 0.961 0.706
0.277 0.350 0.475
0.911 0.828 0.993
```

Summary:
Theoretical density: 2.6 Mg/m³
ΔE_f (raw): -0.7766 eV per atom
Crystal system: triclinic
Space group: P1, No. 1
DFT total energy: -0.3854 Ry/atom

---

Which value of DFT total energy does entry 2 give? -0.3670 Ry/atom

---

Copy entry 2 word for word.
NaCaAc2Se4: optimized geometry, GGA-PBE.

Cell and atoms, written as POSCAR:
```
NaCaAc2Se4
1.0
-1.361 3.902 1.528
-2.210 -3.268 6.380
5.734 0.031 5.028
Na Se Ac Ca
1 4 2 1
direct
0.000 0.500 0.500
0.500 0.258 0.751
0.000 0.264 0.243
0.000 0.736 0.757
0.500 0.742 0.249
0.000 0.000 0.000
0.500 0.000 0.500
0.500 0.500 0.000
```

Summary:
Theoretical density: 5.8 Mg/m³
ΔE_f (raw): -1.8089 eV per atom
Crystal system: monoclinic
Space group: P2/m, No. 10
DFT total energy: -0.3670 Ry/atom